--- i ---
# DyTlCl4 | the Alexandria database | PBE-GGA | optimized geometry
data_DyTlCl4
_chemical_formula_sum 'Dy2 Tl2 Cl8'
_space_group_name_H-M_alt 'P 1 21/c 1'
_space_group_IT_number 14
_cell_length_a 7.9140
_cell_length_b 6.8972
_cell_length_c 7.3187
_cell_angle_alpha 90.00
_cell_angle_beta 99.95
_cell_angle_gamma 90.00
loop_
_space_group_symop_operation_xyz
'x,y,z'
'-x,-y,-z'
'-x,y+1/2,-z+1/2'
'x,-y+1/2,z+1/2'
loop_
_atom_site_label
_atom_site_fract_x
_atom_site_fract_y
_atom_site_fract_z
_atom_site_occupancy
Dy1 0.0000 0.0000 0.0000 1
Tl1 0.5000 0.0000 0.5000 1
Cl1 0.0992 0.1855 0.7116 1
Cl2 0.3121 0.6231 0.5981 1
# Fermi-level density of states ... 0.000 states/eV/atom

***

--- ii ---
# DyTlCl4 | the Alexandria database | PBE-GGA | optimized geometry
data_DyTlCl4
_chemical_formula_sum 'Dy4 Tl4 Cl16'
_space_group_name_H-M_alt 'C 1 2/c 1'
_space_group_IT_number 15
_cell_length_a 8.4601
_cell_length_b 17.3465
_cell_length_c 6.8372
_cell_angle_alpha 90.00
_cell_angle_beta 114.10
_cell_angle_gamma 90.00
loop_
_space_group_symop_operation_xyz
'x,y,z'
'-x,-y,-z'
'-x,y,-z+1/2'
'x,-y,z+1/2'
'x+1/2,y+1/2,z'
'-x+1/2,-y+1/2,-z'
'-x+1/2,y+1/2,-z+1/2'
'x+1/2,-y+1/2,z+1/2'
loop_
_atom_site_label
_atom_site_fract_x
_atom_site_fract_y
_atom_site_fract_z
_atom_site_occupancy
Dy1 0.0000 0.0675 0.2500 1
Tl1 0.0000 0.3179 0.2500 1
Cl1 0.1866 0.0471 0.6689 1
Cl2 0.2178 0.1712 0.2466 1
# Fermi-level density of states ... 0.000 states/eV/atom

***

Most stable to least stable, the ends of the list are ii and i.

***

--- i ---
# DyTl2Cl5 | the Alexandria database | PBE-GGA | optimized geometry
data_DyTl2Cl5
_chemical_formula_sum 'Dy4 Tl8 Cl20'
_space_group_name_H-M_alt 'P n m a'
_space_group_IT_number 62
_cell_length_a 13.0580
_cell_length_b 8.6208
_cell_length_c 8.2889
_cell_angle_alpha 90.00
_cell_angle_beta 90.00
_cell_angle_gamma 90.00
loop_
_space_group_symop_operation_xyz
'x,y,z'
'-x,-y,-z'
'-x+1/2,-y,z+1/2'
'x+1/2,y,-z+1/2'
'x+1/2,-y+1/2,-z+1/2'
'-x+1/2,y+1/2,z+1/2'
'-x,y+1/2,-z'
'x,-y+1/2,z'
loop_
_atom_site_label
_atom_site_fract_x
_atom_site_fract_y
_atom_site_fract_z
_atom_site_occupancy
Dy1 0.0048 0.2500 0.0716 1
Tl1 0.1700 0.0072 0.5677 1
Cl1 0.0105 0.2500 0.4019 1
Cl2 0.0646 0.5456 0.1624 1
Cl3 0.1805 0.2500 0.9043 1
Cl4 0.1948 0.7500 0.8529 1
# Fermi-level density of states ... 0.000 states/eV/atom

***

--- ii ---
# DyTl2Cl5 | the Alexandria database | PBE-GGA | optimized geometry
data_DyTl2Cl5
_chemical_formula_sum 'Dy2 Tl4 Cl10'
_space_group_name_H-M_alt 'C 1 m 1'
_space_group_IT_number 8
_cell_length_a 13.7578
_cell_length_b 7.7350
_cell_length_c 7.7222
_cell_angle_alpha 90.00
_cell_angle_beta 123.36
_cell_angle_gamma 90.00
loop_
_space_group_symop_operation_xyz
'x,y,z'
'x,-y,z'
'x+1/2,y+1/2,z'
'x+1/2,-y+1/2,z'
loop_
_atom_site_label
_atom_site_fract_x
_atom_site_fract_y
_atom_site_fract_z
_atom_site_occupancy
Dy1 0.0000 0.0000 0.0000 1
Tl1 0.1908 0.5000 0.2381 1
Tl2 0.1946 0.0000 0.6945 1
Cl1 0.0408 0.2280 0.2831 1
Cl2 0.0811 0.2301 0.8645 1
Cl3 0.2849 0.5000 0.7399 1
# Fermi-level density of states ... 0.000 states/eV/atom

***

Most stable to least stable, the ends of the list are i and ii.

***

--- i ---
# ErClF | the Alexandria database | PBE-GGA | optimized geometry
data_ErClF
_chemical_formula_sum 'Er2 Cl2 F2'
_space_group_name_H-M_alt 'P -1'
_space_group_IT_number 2
_cell_length_a 3.6986
_cell_length_b 5.2406
_cell_length_c 8.8152
_cell_angle_alpha 97.62
_cell_angle_beta 98.67
_cell_angle_gamma 109.16
loop_
_space_group_symop_operation_xyz
'x,y,z'
'-x,-y,-z'
loop_
_atom_site_label
_atom_site_fract_x
_atom_site_fract_y
_atom_site_fract_z
_atom_site_occupancy
Er1 0.2068 0.3014 0.1393 1
Cl1 0.2874 0.8332 0.6692 1
F1 0.1982 0.4652 0.9007 1
# Fermi-level density of states ... 0.177 states/eV/atom

***

--- ii ---
# ErClF | the Alexandria database | PBE-GGA | optimized geometry
data_ErClF
_chemical_formula_sum 'Er2 Cl2 F2'
_space_group_name_H-M_alt 'P -1'
_space_group_IT_number 2
_cell_length_a 3.5154
_cell_length_b 6.7384
_cell_length_c 7.2663
_cell_angle_alpha 74.91
_cell_angle_beta 89.99
_cell_angle_gamma 75.46
loop_
_space_group_symop_operation_xyz
'x,y,z'
'-x,-y,-z'
loop_
_atom_site_label
_atom_site_fract_x
_atom_site_fract_y
_atom_site_fract_z
_atom_site_occupancy
Er1 0.2124 0.0793 0.2562 1
Cl1 0.1526 0.2017 0.8248 1
F1 0.3828 0.7228 0.8098 1
# Fermi-level density of states ... 0.173 states/eV/atom

***

Most stable to least stable, the ends of the list are i and ii.

***

--- i ---
# Er2GaCl | the Alexandria database | PBE-GGA | optimized geometry
data_Er2GaCl
_chemical_formula_sum 'Er6 Ga3 Cl3'
_space_group_name_H-M_alt 'R -3 m'
_space_group_IT_number 166
_space_group_name_Hall '-R 3 2"'
_cell_length_a 4.1090
_cell_length_b 4.1090
_cell_length_c 19.7892
_cell_angle_alpha 90.00
_cell_angle_beta 90.00
_cell_angle_gamma 120.00
loop_
_atom_site_label
_atom_site_fract_x
_atom_site_fract_y
_atom_site_fract_z
_atom_site_occupancy
Er1 0.0000 0.0000 0.2438 1
Ga1 0.0000 0.0000 0.5000 1
Cl1 0.0000 0.0000 0.0000 1
# Fermi-level density of states ... 0.617 states/eV/atom

***

--- ii ---
# Er2GaCl | the Alexandria database | PBE-GGA | optimized geometry
data_Er2GaCl
_chemical_formula_sum 'Er6 Ga3 Cl3'
_space_group_name_H-M_alt 'R 3 m'
_space_group_IT_number 160
_space_group_name_Hall 'R 3 -2"'
_cell_length_a 3.5699
_cell_length_b 3.5699
_cell_length_c 25.3354
_cell_angle_alpha 90.00
_cell_angle_beta 90.00
_cell_angle_gamma 120.00
loop_
_atom_site_label
_atom_site_fract_x
_atom_site_fract_y
_atom_site_fract_z
_atom_site_occupancy
Er1 0.0000 0.0000 0.0000 1
Er2 0.0000 0.0000 0.1704 1
Ga1 0.0000 0.0000 0.5850 1
Cl1 0.0000 0.0000 0.7545 1
# Fermi-level density of states ... 0.422 states/eV/atom

***

Most stable to least stable, the ends of the list are i and ii.

***

--- i ---
# Er2GeCl | the Alexandria database | PBE-GGA | optimized geometry
data_Er2GeCl
_chemical_formula_sum 'Er6 Ge3 Cl3'
_space_group_name_H-M_alt 'R 3 m'
_space_group_IT_number 160
_space_group_name_Hall 'R 3 -2"'
_cell_length_a 4.0523
_cell_length_b 4.0523
_cell_length_c 21.2839
_cell_angle_alpha 90.00
_cell_angle_beta 90.00
_cell_angle_gamma 120.00
loop_
_atom_site_label
_atom_site_fract_x
_atom_site_fract_y
_atom_site_fract_z
_atom_site_occupancy
Er1 0.0000 0.0000 0.0000 1
Er2 0.0000 0.0000 0.1940 1
Ge1 0.0000 0.0000 0.5980 1
Cl1 0.0000 0.0000 0.4256 1
# Fermi-level density of states ... 0.608 states/eV/atom

***

--- ii ---
# Er2GeCl | the Alexandria database | PBE-GGA | optimized geometry
data_Er2GeCl
_chemical_formula_sum 'Er6 Ge3 Cl3'
_space_group_name_H-M_alt 'R -3 m'
_space_group_IT_number 166
_space_group_name_Hall '-R 3 2"'
_cell_length_a 4.1472
_cell_length_b 4.1472
_cell_length_c 19.3693
_cell_angle_alpha 90.00
_cell_angle_beta 90.00
_cell_angle_gamma 120.00
loop_
_atom_site_label
_atom_site_fract_x
_atom_site_fract_y
_atom_site_fract_z
_atom_site_occupancy
Er1 0.0000 0.0000 0.2415 1
Ge1 0.0000 0.0000 0.5000 1
Cl1 0.0000 0.0000 0.0000 1
# Fermi-level density of states ... 0.518 states/eV/atom

***

Most stable to least stable, the ends of the list are ii and i.

***

--- i ---
# ErI2Cl | the Alexandria database | PBE-GGA | optimized geometry
data_ErI2Cl
_chemical_formula_sum 'Er2 I4 Cl2'
_space_group_name_H-M_alt 'I m m 2'
_space_group_IT_number 44
_cell_length_a 3.8403
_cell_length_b 12.4954
_cell_length_c 7.6427
_cell_angle_alpha 90.00
_cell_angle_beta 90.00
_cell_angle_gamma 90.00
loop_
_space_group_symop_operation_xyz
'x,y,z'
'-x,-y,z'
'-x,y,z'
'x,-y,z'
'x+1/2,y+1/2,z+1/2'
'-x+1/2,-y+1/2,z+1/2'
'-x+1/2,y+1/2,z+1/2'
'x+1/2,-y+1/2,z+1/2'
loop_
_atom_site_label
_atom_site_fract_x
_atom_site_fract_y
_atom_site_fract_z
_atom_site_occupancy
Er1 0.0000 0.0000 0.0000 1
I1 0.0000 0.3399 0.6596 1
Cl1 0.0000 0.5000 0.2579 1
# Fermi-level density of states ... 0.000 states/eV/atom

***

--- ii ---
# ErI2Cl | the Alexandria database | PBE-GGA | optimized geometry
data_ErI2Cl
_chemical_formula_sum 'Er1 I2 Cl1'
_space_group_name_H-M_alt 'P -1'
_space_group_IT_number 2
_cell_length_a 4.3015
_cell_length_b 5.2338
_cell_length_c 8.6234
_cell_angle_alpha 90.90
_cell_angle_beta 104.33
_cell_angle_gamma 90.00
loop_
_space_group_symop_operation_xyz
'x,y,z'
'-x,-y,-z'
loop_
_atom_site_label
_atom_site_fract_x
_atom_site_fract_y
_atom_site_fract_z
_atom_site_occupancy
Er1 0.0000 0.0000 0.0000 1
I1 0.3738 0.9934 0.7457 1
Cl1 0.0000 0.5000 0.0000 1
# Fermi-level density of states ... 0.000 states/eV/atom

***

Most stable to least stable, the ends of the list are ii and i.

***

--- i ---
# ErICl2 | the Alexandria database | PBE-GGA | optimized geometry
data_ErICl2
_chemical_formula_sum 'Er4 I4 Cl8'
_space_group_name_H-M_alt 'C m c m'
_space_group_IT_number 63
_space_group_name_Hall '-C 2c 2'
_cell_length_a 3.8908
_cell_length_b 15.4513
_cell_length_c 8.6963
_cell_angle_alpha 90.00
_cell_angle_beta 90.00
_cell_angle_gamma 90.00
loop_
_atom_site_label
_atom_site_fract_x
_atom_site_fract_y
_atom_site_fract_z
_atom_site_occupancy
Er1 0.0000 0.2405 0.2500 1
I1 0.0000 0.4089 0.7500 1
Cl1 0.0000 0.1783 0.5748 1
# Fermi-level density of states ... 0.000 states/eV/atom

***

--- ii ---
# ErICl2 | the Alexandria database | PBE-GGA | optimized geometry
data_ErICl2
_chemical_formula_sum 'Er4 I4 Cl8'
_space_group_name_H-M_alt 'C 1 c 1'
_space_group_IT_number 9
_cell_length_a 8.2355
_cell_length_b 11.5659
_cell_length_c 7.3014
_cell_angle_alpha 90.00
_cell_angle_beta 121.96
_cell_angle_gamma 90.00
loop_
_space_group_symop_operation_xyz
'x,y,z'
'x,-y,z+1/2'
'x+1/2,y+1/2,z'
'x+1/2,-y+1/2,z+1/2'
loop_
_atom_site_label
_atom_site_fract_x
_atom_site_fract_y
_atom_site_fract_z
_atom_site_occupancy
Er1 0.0000 0.0924 0.0000 1
I1 0.2396 0.1013 0.7995 1
Cl1 0.2374 0.2499 0.2709 1
Cl2 0.3052 0.4423 0.6893 1
# Fermi-level density of states ... 0.000 states/eV/atom

***

Most stable to least stable, the ends of the list are ii and i.

***

--- i ---
# KErCl4 | the Alexandria database | PBE-GGA | optimized geometry
data_KErCl4
_chemical_formula_sum 'K4 Er4 Cl16'
_space_group_name_H-M_alt 'C 1 2/c 1'
_space_group_IT_number 15
_cell_length_a 8.1094
_cell_length_b 17.3294
_cell_length_c 6.7965
_cell_angle_alpha 90.00
_cell_angle_beta 114.07
_cell_angle_gamma 90.00
loop_
_space_group_symop_operation_xyz
'x,y,z'
'-x,-y,-z'
'-x,y,-z+1/2'
'x,-y,z+1/2'
'x+1/2,y+1/2,z'
'-x+1/2,-y+1/2,-z'
'-x+1/2,y+1/2,-z+1/2'
'x+1/2,-y+1/2,z+1/2'
loop_
_atom_site_label
_atom_site_fract_x
_atom_site_fract_y
_atom_site_fract_z
_atom_site_occupancy
K1 0.0000 0.1793 0.2500 1
Er1 0.0000 0.4328 0.2500 1
Cl1 0.1924 0.4529 0.6688 1
Cl2 0.2262 0.3307 0.2515 1
# Fermi-level density of states ... 0.000 states/eV/atom

***

--- ii ---
# KErCl4 | the Alexandria database | PBE-GGA | optimized geometry
data_KErCl4
_chemical_formula_sum 'K4 Er4 Cl16'
_space_group_name_H-M_alt 'C 1 2/c 1'
_space_group_IT_number 15
_cell_length_a 9.6260
_cell_length_b 15.1804
_cell_length_c 6.6649
_cell_angle_alpha 90.00
_cell_angle_beta 126.08
_cell_angle_gamma 90.00
loop_
_space_group_symop_operation_xyz
'x,y,z'
'-x,-y,-z'
'-x,y,-z+1/2'
'x,-y,z+1/2'
'x+1/2,y+1/2,z'
'-x+1/2,-y+1/2,-z'
'-x+1/2,y+1/2,-z+1/2'
'x+1/2,-y+1/2,z+1/2'
loop_
_atom_site_label
_atom_site_fract_x
_atom_site_fract_y
_atom_site_fract_z
_atom_site_occupancy
K1 0.0000 0.1587 0.2500 1
Er1 0.0000 0.4189 0.7500 1
Cl1 0.1616 0.3028 0.6905 1
Cl2 0.2034 0.4579 0.2295 1
# Fermi-level density of states ... 0.000 states/eV/atom

***

Most stable to least stable, the ends of the list are i and ii.

***

--- i ---
# KEr2Cl7 | the Alexandria database | PBE-GGA | optimized geometry
data_KEr2Cl7
_chemical_formula_sum 'K4 Er8 Cl28'
_space_group_name_H-M_alt 'P 1 21/c 1'
_space_group_IT_number 14
_cell_length_a 6.9090
_cell_length_b 12.5295
_cell_length_c 13.5235
_cell_angle_alpha 90.00
_cell_angle_beta 92.00
_cell_angle_gamma 90.00
loop_
_space_group_symop_operation_xyz
'x,y,z'
'-x,-y,-z'
'-x,y+1/2,-z+1/2'
'x,-y+1/2,z+1/2'
loop_
_atom_site_label
_atom_site_fract_x
_atom_site_fract_y
_atom_site_fract_z
_atom_site_occupancy
K1 0.2029 0.2135 0.4761 1
Er1 0.2230 0.5358 0.2588 1
Er2 0.2776 0.6613 0.7546 1
Cl1 0.0050 0.7022 0.3189 1
Cl2 0.0231 0.5697 0.6262 1
Cl3 0.0641 0.5294 0.8674 1
Cl4 0.2484 0.6860 0.1126 1
Cl5 0.4534 0.0592 0.6295 1
Cl6 0.4561 0.0942 0.8703 1
Cl7 0.4834 0.6752 0.3324 1
# Fermi-level density of states ... 0.000 states/eV/atom

***

--- ii ---
# KEr2Cl7 | the Alexandria database | PBE-GGA | optimized geometry
data_KEr2Cl7
_chemical_formula_sum 'K2 Er4 Cl14'
_space_group_name_H-M_alt 'C m m m'
_space_group_IT_number 65
_space_group_name_Hall '-C 2 2'
_cell_length_a 8.4327
_cell_length_b 13.5681
_cell_length_c 5.2358
_cell_angle_alpha 90.00
_cell_angle_beta 90.00
_cell_angle_gamma 90.00
loop_
_atom_site_label
_atom_site_fract_x
_atom_site_fract_y
_atom_site_fract_z
_atom_site_occupancy
K1 0.0000 0.0000 0.0000 1
Er1 0.0000 0.3032 0.5000 1
Cl1 0.0000 0.2953 0.0000 1
Cl2 0.0000 0.5000 0.5000 1
Cl3 0.1878 0.1398 0.5000 1
# Fermi-level density of states ... 0.000 states/eV/atom

***

Most stable to least stable, the ends of the list are i and ii.

***

--- i ---
# K2RbErCl6 | the Alexandria database | PBE-GGA | optimized geometry
data_K2RbErCl6
_chemical_formula_sum 'K8 Rb4 Er4 Cl24'
_space_group_name_H-M_alt 'F m -3 m'
_space_group_IT_number 225
_space_group_name_Hall '-F 4 2 3'
_cell_length_a 11.4056
_cell_length_b 11.4056
_cell_length_c 11.4056
_cell_angle_alpha 90.00
_cell_angle_beta 90.00
_cell_angle_gamma 90.00
loop_
_atom_site_label
_atom_site_fract_x
_atom_site_fract_y
_atom_site_fract_z
_atom_site_occupancy
K1 0.2500 0.2500 0.2500 1
Rb1 0.0000 0.0000 0.0000 1
Er1 0.0000 0.0000 0.5000 1
Cl1 0.0000 0.0000 0.2713 1
# Fermi-level density of states ... 0.000 states/eV/atom

***

--- ii ---
# K2RbErCl6 | the Alexandria database | PBE-GGA | optimized geometry
data_K2RbErCl6
_chemical_formula_sum 'K6 Rb3 Er3 Cl18'
_space_group_name_H-M_alt 'R 3'
_space_group_IT_number 146
_space_group_name_Hall 'R 3'
_cell_length_a 7.7587
_cell_length_b 7.7587
_cell_length_c 20.2523
_cell_angle_alpha 90.00
_cell_angle_beta 90.00
_cell_angle_gamma 120.00
loop_
_atom_site_label
_atom_site_fract_x
_atom_site_fract_y
_atom_site_fract_z
_atom_site_occupancy
K1 0.0000 0.0000 0.0000 1
K2 0.0000 0.0000 0.4893 1
Rb1 0.0000 0.0000 0.2071 1
Er1 0.0000 0.0000 0.6963 1
Cl1 0.0296 0.3990 0.4323 1
Cl2 0.0710 0.6752 0.2816 1
# Fermi-level density of states ... 0.000 states/eV/atom

***

Most stable to least stable, the ends of the list are ii and i.